Here is AlHN2 at its PBEsol-relaxed geometry from Alexandria via LeMat-Bulk. Energies are from meta-GGA SCAN.

Values from the calculation:
The raw total energy comes out at -5.785 eV per atom.

Cell lengths 2.9760, 2.9760, 13.7512 Å; angles 90.00, 90.00, 120.00 degrees
Space group R-3m (No. 166, hexagonal axes)
One atom of each set of equivalent atoms:
Al 0.0000 0.0000 0.0000 (multiplicity 3)
H 0.0000 0.0000 0.5000 (multiplicity 3)
N 0.0000 0.0000 0.1481 (multiplicity 6)

Here is Al3HN at its PBEsol-relaxed geometry from Alexandria via LeMat-Bulk. Energies are from meta-GGA SCAN.

Values from the calculation:
The raw total energy comes out at -6.678 eV per atom.

Cell lengths 3.975, 3.975, 3.975 Å; angles 90.00, 90.00, 90.00 degrees
Space group Pm-3m (No. 221)
One atom of each set of equivalent atoms:
Al 0.000 0.000 0.500 (multiplicity 3)
H 0.500 0.500 0.500 (multiplicity 1)
N 0.000 0.000 0.000 (multiplicity 1)

| no. | calculated volume (Å³ per cell) |
| --- | --- |
| 1 | 105.47 |
| 2 | 62.82 |